(1)
PIr2Cl, optimized geometry, DFT PBE; crystal system = tetragonal; E = -5.924 eV per atom; energy relative to the lowest polymorph listed for this composition = 368 meV per atom; formation energy from raw total energies = 0.32 eV/atom
1.0
5.830 0.000 0.000
0.000 5.830 0.000
0.000 0.000 9.083
P Ir Cl
4 8 4
direct
0.000 0.000 0.000
0.000 0.500 0.250
0.500 0.000 0.750
0.500 0.500 0.500
0.211 0.250 0.125
0.250 0.711 0.375
0.250 0.789 0.875
0.289 0.250 0.625
0.711 0.750 0.625
0.750 0.211 0.875
0.750 0.289 0.375
0.789 0.750 0.125
0.000 0.000 0.500
0.000 0.500 0.750
0.500 0.000 0.250
0.500 0.500 0.000

---

(2)
P2IrCl, optimized geometry, DFT PBE; crystal system = trigonal; E = -5.156 eV per atom; energy relative to the lowest polymorph listed for this composition = 510 meV per atom; formation energy from raw total energies = 0.23 eV/atom
1.0
3.106 0.000 0.000
-1.553 2.690 0.000
0.000 0.000 27.006
P Ir Cl
6 3 3
direct
0.000 0.000 0.000
0.000 0.000 0.272
0.333 0.667 0.667
0.333 0.667 0.938
0.667 0.333 0.333
0.667 0.333 0.605
0.000 0.000 0.549
0.333 0.667 0.215
0.667 0.333 0.882
0.000 0.000 0.810
0.333 0.667 0.477
0.667 0.333 0.144